Below is PrIrBr after structural relaxation, with properties calculated at the PBE level.

total magnetic moment	0.000	Bohr magnetons per cell
uncorrected energy	-6.01	eV per atom
raw formation energy	-908	meV per atom

abc: 21.4101 4.1429 3.9942
angles: 90.00 100.41 90.00
Last column: nearest neighbours and their distance in Å.
Space group C2/m (No. 12)
One atom of each set of equivalent atoms:
1 Pr 0.1676 0.0000 0.4202  6 Ir 3.03-3.21, 4 Br 3.35-3.36
2 Ir 0.2132 0.5000 0.9644  2 Ir 2.59, 1 Br 2.68
3 Br 0.0859 0.5000 0.8432  1 Ir 2.68

---

Below is Pr4Ir2Br3 after structural relaxation, with properties calculated at the PBE level.

total magnetic moment	0.000	Bohr magnetons per cell
uncorrected energy	-5.84	eV per atom
raw formation energy	-1188	meV per atom

abc: 4.1672 4.1672 18.8714
angles: 90.00 90.00 120.00
Last column: nearest neighbours and their distance in Å.
Space group P-3m1 (No. 164)
One atom of each set of equivalent atoms:
1 Pr 0.0000 0.0000 0.2019  3 Ir 2.94, 3 Br 3.10
2 Pr 0.3333 0.6667 0.3723  3 Ir 2.85
3 Ir 0.3333 0.6667 0.7083  6 Pr 2.85-2.94
4 Br 0.0000 0.0000 0.5000  6 Pr 3.41
5 Br 0.3333 0.6667 0.0983  3 Pr 3.10

---

Below is Pr2IrBr3 after structural relaxation, with properties calculated at the PBE level.

total magnetic moment	0.000	Bohr magnetons per cell
uncorrected energy	-5.23	eV per atom
raw formation energy	-1322	meV per atom

abc: 18.1782 4.2979 12.4950
angles: 90.00 124.63 90.00
Last column: nearest neighbours and their distance in Å.
Space group C2/m (No. 12)
One atom of each set of equivalent atoms:
1 Pr 0.0998 0.0000 0.3986  1 Ir 2.62
2 Pr 0.1258 0.5000 0.8120  2 Ir 2.87, 4 Br 3.02-3.19
3 Ir 0.0536 0.0000 0.6272  1 Ir 2.62, 3 Pr 2.62-2.87
4 Br 0.0488 0.5000 0.1996  3 Pr 3.01-3.09
5 Br 0.1725 0.0000 0.0313  3 Pr 3.02-3.19
6 Br 0.2128 0.5000 0.5974  3 Pr 3.04-3.38

---

Below is PrIrBr after structural relaxation, with properties calculated at the PBE level.

total magnetic moment	0.000	Bohr magnetons per cell
uncorrected energy	-6.35	eV per atom
raw formation energy	-1242	meV per atom

abc: 7.5322 4.3494 11.2402
angles: 90.00 91.76 90.00
Last column: nearest neighbours and their distance in Å.
Space group C2/m (No. 12)
One atom of each set of equivalent atoms:
1 Pr 0.0079 0.0000 0.1712  3 Br 3.13, 6 Ir 3.14-3.18
2 Ir 0.1665 0.5000 0.9969  3 Ir 2.51
3 Br 0.1823 0.5000 0.3380  3 Pr 3.13

---

Below is Pr3IrBr after structural relaxation, with properties calculated at the PBE level.

total magnetic moment	0.000	Bohr magnetons per cell
uncorrected energy	-5.69	eV per atom
raw formation energy	-719	meV per atom

abc: 3.9630 9.7377 8.2944
angles: 90.00 90.00 90.00
Last column: nearest neighbours and their distance in Å.
Space group Pmmn (No. 59, origin choice 2)
One atom of each set of equivalent atoms:
1 Pr 0.2500 0.0736 0.1627  3 Ir 3.03-3.37
2 Pr 0.2500 0.2500 0.7411  2 Ir 2.80
3 Ir 0.2500 0.7500 0.0199  6 Pr 2.80-3.03
4 Br 0.2500 0.7500 0.5687  6 Pr 3.24-3.44

---

Below is Pr8IrPt3Br4 after structural relaxation, with properties calculated at the PBE level.

total magnetic moment	0.000	Bohr magnetons per cell
uncorrected energy	-5.70	eV per atom
raw formation energy	-1209	meV per atom

abc: 8.4935 8.4935 23.4366
angles: 90.00 90.00 120.00
Last column: nearest neighbours and their distance in Å.
Space group R-3m (No. 166, hexagonal axes)
One atom of each set of equivalent atoms:
1 Pr 0.0000 0.0000 0.2324  3 Pt 2.90
2 Pr 0.0061 0.5031 0.2325  1 Ir 2.86, 2 Pt 2.92
3 Ir 0.0000 0.0000 0.5000  6 Pr 2.86
4 Pt 0.0000 0.5000 0.5000  6 Pr 2.90-2.92
5 Br 0.0000 0.0000 0.0000  6 Pr 3.44
6 Br 0.0000 0.5000 0.0000  6 Pr 3.39-3.41

---

Below is Pr4IrPtBr2 after structural relaxation, with properties calculated at the PBE level.

total magnetic moment	0.000	Bohr magnetons per cell
uncorrected energy	-5.84	eV per atom
raw formation energy	-1172	meV per atom

abc: 7.3387 4.2330 8.2010
angles: 90.00 107.51 90.00
Last column: nearest neighbours and their distance in Å.
Space group P2/m (No. 10)
One atom of each set of equivalent atoms:
1 Pr 0.2272 0.0000 0.1957  2 Ir 2.87, 1 Pt 2.92
2 Pr 0.2607 0.5000 0.8039  1 Ir 2.85, 2 Pt 2.91
3 Ir 0.0000 0.5000 0.0000  6 Pr 2.85-2.87
4 Pt 0.5000 0.0000 0.0000  6 Pr 2.91-2.92
5 Br 0.0000 0.0000 0.5000  6 Pr 3.39
6 Br 0.5000 0.5000 0.5000  6 Pr 3.42-3.45

---

Below is Pr6Ir2PtBr3 after structural relaxation, with properties calculated at the PBE level.

total magnetic moment	0.000	Bohr magnetons per cell
uncorrected energy	-5.94	eV per atom
raw formation energy	-1149	meV per atom

abc: 7.3052 12.6515 8.2043
angles: 90.00 107.26 90.00
Last column: nearest neighbours and their distance in Å.
Space group C2/m (No. 12)
One atom of each set of equivalent atoms:
1 Pr 0.2247 0.0000 0.1961  2 Ir 2.86, 1 Pt 2.92
2 Pr 0.2358 0.3297 0.1962  2 Ir 2.86, 1 Pt 2.93
3 Ir 0.0000 0.1666 0.0000  6 Pr 2.86
4 Pt 0.0000 0.5000 0.0000  6 Pr 2.92-2.93
5 Br 0.0000 0.0000 0.5000  6 Pr 3.37-3.42
6 Br 0.0000 0.3320 0.5000  6 Pr 3.36-3.44

---

Below is PrPuIrBr after structural relaxation, with properties calculated at the PBE level.

total magnetic moment	15.520	Bohr magnetons per cell
uncorrected energy	-8.29	eV per atom
raw formation energy	-874	meV per atom

abc: 4.0701 4.0701 23.7474
angles: 90.00 90.00 120.00
Last column: nearest neighbours and their distance in Å.
Space group R3m (No. 160, hexagonal axes)
One atom of each set of equivalent atoms:
1 Pr 0.0000 0.0000 0.0000  3 Ir 2.90
2 Pu 0.0000 0.0000 0.2024  3 Ir 2.74
3 Ir 0.0000 0.0000 0.5955  3 Pu 2.74, 3 Pr 2.90
4 Br 0.0000 0.0000 0.7664  3 Pr 3.34, 3 Pu 3.39

---

Below is Pr4IrRhBr2 after structural relaxation, with properties calculated at the PBE level.

total magnetic moment	0.000	Bohr magnetons per cell
uncorrected energy	-5.91	eV per atom
raw formation energy	-1080	meV per atom

abc: 7.2221 4.1734 8.2337
angles: 90.00 106.88 90.00
Last column: nearest neighbours and their distance in Å.
Space group P2/m (No. 10)
One atom of each set of equivalent atoms:
1 Pr 0.2297 0.0000 0.1960  2 Ir 2.86, 1 Rh 2.87
2 Pr 0.2684 0.5000 0.8039  1 Ir 2.86, 2 Rh 2.86
3 Ir 0.0000 0.5000 0.0000  6 Pr 2.86
4 Rh 0.5000 0.0000 0.0000  6 Pr 2.86-2.87
5 Br 0.0000 0.0000 0.5000  6 Pr 3.38-3.40
6 Br 0.5000 0.5000 0.5000  6 Pr 3.39-3.40

---

Below is Pr6Ir2RuBr3 after structural relaxation, with properties calculated at the PBE level.

total magnetic moment	0.000	Bohr magnetons per cell
uncorrected energy	-6.04	eV per atom
raw formation energy	-979	meV per atom

abc: 7.2101 12.4885 8.2415
angles: 90.00 106.94 90.00
Last column: nearest neighbours and their distance in Å.
Space group C2/m (No. 12)
One atom of each set of equivalent atoms:
1 Pr 0.2297 0.1645 0.1960  1 Ru 2.83, 2 Ir 2.87
2 Pr 0.2364 0.5000 0.1964  1 Ru 2.83, 2 Ir 2.87
3 Ir 0.0000 0.3333 0.0000  6 Pr 2.87
4 Ru 0.0000 0.0000 0.0000  6 Pr 2.83
5 Br 0.0000 0.1650 0.5000  6 Pr 3.37-3.43
6 Br 0.0000 0.5000 0.5000  6 Pr 3.38-3.41

---

Below is Pr8Ir3RuBr4 after structural relaxation, with properties calculated at the PBE level.

total magnetic moment	0.000	Bohr magnetons per cell
uncorrected energy	-6.06	eV per atom
raw formation energy	-1006	meV per atom

abc: 8.3379 8.3379 23.6471
angles: 90.00 90.00 120.00
Last column: nearest neighbours and their distance in Å.
Space group R-3m (No. 166, hexagonal axes)
One atom of each set of equivalent atoms:
1 Pr 0.0000 0.0000 0.2314  3 Ir 2.85
2 Pr 0.0040 0.5020 0.2321  1 Ru 2.84, 2 Ir 2.87
3 Ir 0.0000 0.5000 0.5000  6 Pr 2.85-2.87
4 Ru 0.0000 0.0000 0.5000  6 Pr 2.84
5 Br 0.0000 0.0000 0.0000  6 Pr 3.42
6 Br 0.0000 0.5000 0.0000  6 Pr 3.38-3.41

---

Below is Pr6Ir2SBr2 after structural relaxation, with properties calculated at the PBE level.

total magnetic moment	0.000	Bohr magnetons per cell
uncorrected energy	-5.98	eV per atom
raw formation energy	-1081	meV per atom

abc: 7.4478 12.5636 7.6843
angles: 90.00 107.71 90.00
Last column: nearest neighbours and their distance in Å.
Space group C2/m (No. 12)
One atom of each set of equivalent atoms:
1 Pr 0.2107 0.0000 0.2107  2 Ir 2.85, 1 S 3.06
2 Pr 0.2422 0.3308 0.2093  2 Ir 2.85-2.86, 1 S 2.93
3 Ir 0.0000 0.1703 0.0000  6 Pr 2.85-2.86
4 S 0.0000 0.5000 0.0000  6 Pr 2.93-3.06
5 Br 0.0000 0.3378 0.5000  6 Pr 3.25-3.29

---

Below is Pr4IrS2Br after structural relaxation, with properties calculated at the PBE level.

total magnetic moment	0.000	Bohr magnetons per cell
uncorrected energy	-6.19	eV per atom
raw formation energy	-1447	meV per atom

abc: 7.3378 4.0826 7.4236
angles: 90.00 108.39 90.00
Last column: nearest neighbours and their distance in Å.
Space group P2/m (No. 10)
One atom of each set of equivalent atoms:
1 Pr 0.2278 0.0000 0.2246  3 S 2.83-3.02, 1 Ir 2.98, 2 Br 3.12
2 Pr 0.2557 0.5000 0.7714  2 Ir 2.89, 3 S 2.90-3.06, 1 Br 3.09
3 Ir 0.5000 0.0000 0.0000  6 Pr 2.89-2.98
4 S 0.0000 0.0000 0.5000  6 Pr 3.02-3.06
5 S 0.0000 0.5000 0.0000  6 Pr 2.83-2.90
6 Br 0.5000 0.5000 0.5000  6 Pr 3.09-3.12

---

Below is Pr8SbIr3Br4 after structural relaxation, with properties calculated at the PBE level.

total magnetic moment	0.000	Bohr magnetons per cell
uncorrected energy	-5.80	eV per atom
raw formation energy	-1071	meV per atom

abc: 8.6340 8.6340 23.1730
angles: 90.00 90.00 120.00
Last column: nearest neighbours and their distance in Å.
Space group R-3m (No. 166, hexagonal axes)
One atom of each set of equivalent atoms:
1 Pr 0.0000 0.0000 0.2319  3 Ir 2.91
2 Pr 0.0253 0.5126 0.7659  2 Ir 2.87, 1 Sb 3.10
3 Sb 0.0000 0.0000 0.5000  6 Pr 3.10
4 Ir 0.0000 0.5000 0.5000  6 Pr 2.87-2.91
5 Br 0.0000 0.0000 0.0000  6 Pr 3.25
6 Br 0.0000 0.5000 0.0000  6 Pr 3.43-3.46

---

Below is Pr6SbIr2Br3 after structural relaxation, with properties calculated at the PBE level.

total magnetic moment	0.000	Bohr magnetons per cell
uncorrected energy	-5.74	eV per atom
raw formation energy	-1114	meV per atom

abc: 19.6527 4.2869 9.2920
angles: 90.00 106.50 90.00
Last column: nearest neighbours and their distance in Å.
Space group C2/m (No. 12)
One atom of each set of equivalent atoms:
1 Pr 0.0227 0.0000 0.2551  1 Ir 2.77
2 Pr 0.1695 0.5000 0.1364  2 Ir 2.86
3 Pr 0.1792 0.5000 0.5575  3 Ir 2.84-2.91
4 Sb 0.0000 0.5000 0.0000  6 Pr 3.13-3.21
5 Ir 0.1699 0.0000 0.3408  6 Pr 2.77-2.91
6 Br 0.0000 0.5000 0.5000  6 Pr 3.25-3.41
7 Br 0.1600 0.0000 0.8408  6 Pr 3.30-3.50

---

Below is Pr6Ir2Se3Br after structural relaxation, with properties calculated at the PBE level.

total magnetic moment	0.000	Bohr magnetons per cell
uncorrected energy	-6.21	eV per atom
raw formation energy	-1337	meV per atom

abc: 18.8384 4.1730 8.8536
angles: 90.00 104.92 90.00
Last column: nearest neighbours and their distance in Å.
Space group C2/m (No. 12)
One atom of each set of equivalent atoms:
1 Pr 0.0122 0.0000 0.2755  1 Ir 2.85, 3 Se 2.93-3.09, 2 Br 3.17
2 Pr 0.1719 0.5000 0.5750  3 Ir 2.91-2.95, 3 Se 3.13-3.22
3 Pr 0.1771 0.5000 0.1182  2 Ir 2.88, 3 Se 3.06-3.16
4 Ir 0.1682 0.0000 0.3371  6 Pr 2.85-2.95
5 Se 0.0000 0.5000 0.5000  6 Pr 2.93-3.13
6 Se 0.1570 0.0000 0.8427  6 Pr 3.06-3.22
7 Br 0.0000 0.5000 0.0000  6 Pr 3.17-3.23

---

Below is Pr6Ir2SeBr3 after structural relaxation, with properties calculated at the PBE level.

total magnetic moment	0.000	Bohr magnetons per cell
uncorrected energy	-5.81	eV per atom
raw formation energy	-1237	meV per atom

abc: 7.4290 12.8613 8.0390
angles: 90.00 107.89 90.00
Last column: nearest neighbours and their distance in Å.
Space group C2/m (No. 12)
One atom of each set of equivalent atoms:
1 Pr 0.2103 0.0000 0.2000  2 Ir 2.85, 1 Se 3.06
2 Pr 0.2459 0.3219 0.2013  2 Ir 2.84-2.85, 1 Se 3.06
3 Ir 0.0000 0.1672 0.0000  6 Pr 2.84-2.85
4 Se 0.0000 0.5000 0.0000  6 Pr 3.06
5 Br 0.0000 0.0000 0.5000  6 Pr 3.25-3.43
6 Br 0.0000 0.3385 0.5000  6 Pr 3.29-3.44

---

Below is Pr8Ir3SeBr4 after structural relaxation, with properties calculated at the PBE level.

total magnetic moment	0.000	Bohr magnetons per cell
uncorrected energy	-5.86	eV per atom
raw formation energy	-1174	meV per atom

abc: 8.5281 8.5281 23.1203
angles: 90.00 90.00 120.00
Last column: nearest neighbours and their distance in Å.
Space group R-3m (No. 166, hexagonal axes)
One atom of each set of equivalent atoms:
1 Pr 0.0000 0.0000 0.2315  3 Ir 2.88
2 Pr 0.0186 0.5093 0.7665  2 Ir 2.85, 1 Se 3.02
3 Ir 0.0000 0.5000 0.5000  6 Pr 2.85-2.88
4 Se 0.0000 0.0000 0.5000  6 Pr 3.02
5 Br 0.0000 0.0000 0.0000  6 Pr 3.28
6 Br 0.0000 0.5000 0.0000  6 Pr 3.41-3.43

---

Below is Pr8SiIr3Br4 after structural relaxation, with properties calculated at the PBE level.

total magnetic moment	0.000	Bohr magnetons per cell
uncorrected energy	-5.85	eV per atom
raw formation energy	-1040	meV per atom

abc: 8.4927 8.4927 23.2231
angles: 90.00 90.00 120.00
Last column: nearest neighbours and their distance in Å.
Space group R-3m (No. 166, hexagonal axes)
One atom of each set of equivalent atoms:
1 Pr 0.0000 0.0000 0.2330  3 Ir 2.90
2 Pr 0.0106 0.5053 0.7674  2 Ir 2.86, 1 Si 2.96
3 Si 0.0000 0.0000 0.5000  6 Pr 2.96
4 Ir 0.0000 0.5000 0.5000  6 Pr 2.86-2.90
5 Br 0.0000 0.0000 0.0000  6 Pr 3.33
6 Br 0.0000 0.5000 0.0000  6 Pr 3.38-3.42